This record from Alexandria describes a relaxed TmPaAgHg crystal. The functional is PBE-GGA.

SG: F-43m (216)
E, eV for the cell shown: -17.0
Volume, Å³ per cell: 98.5
Calculated formation energy, eV/atom: 0.04

a b c (Å): 5.184 5.184 5.184
angles (deg): 60.00 60.00 60.00
Fractional coordinates of all 4 atoms:
Pa 0.000 0.000 0.000
Tm 0.500 0.500 0.500
Hg 0.750 0.750 0.750
Ag 0.250 0.250 0.250